Entry 1:
! Zr2Ru2W | Alexandria | GGA-PBE | optimized geometry; values from VASP
&SYSTEM
  ibrav = 0, nat = 5, ntyp = 3
/
ATOMIC_SPECIES
Ru 101.07 Ru.upf
W 183.84 W.upf
Zr 91.22 Zr.upf
CELL_PARAMETERS angstrom
-1.724 1.724 8.042
1.724 -1.724 8.042
1.724 1.724 -8.042
ATOMIC_POSITIONS crystal
Ru 0.250 0.750 0.500
Ru 0.750 0.250 0.500
W 0.000 0.000 0.000
Zr 0.400 0.400 0.000
Zr 0.600 0.600 0.000
! Formation enthalpy at 0 K, eV per formula unit: 1.67
! Crystal system: tetragonal
! Space group: I4/mmm
! Energy relative to the lowest polymorph listed for this composition, eV/atom: 0.4812



Entry 2:
! DyYI4 | Alexandria | GGA-PBE | optimized geometry; values from VASP
&SYSTEM
  ibrav = 0, nat = 6, ntyp = 3
/
ATOMIC_SPECIES
I 126.90 I.upf
Dy 162.50 Dy.upf
Y 88.91 Y.upf
CELL_PARAMETERS angstrom
-0.584 -1.863 -3.651
5.469 -4.414 1.378
-6.876 -3.755 3.017
ATOMIC_POSITIONS crystal
I 0.000 0.246 0.743
I 0.500 0.748 0.743
I 0.500 0.252 0.257
I 0.000 0.754 0.257
Dy 0.500 0.000 0.500
Y 0.000 0.500 0.500
! Crystal system: monoclinic
! Space group: P2/m
! ΔE_f (raw), meV/atom: -1215.6



Entry 3:
! Sm3Er2ThS6 | Alexandria | GGA-PBE | optimized geometry; values from VASP
&SYSTEM
  ibrav = 0, nat = 12, ntyp = 4
/
ATOMIC_SPECIES
S 32.06 S.upf
Er 167.26 Er.upf
Th 232.04 Th.upf
Sm 150.36 Sm.upf
CELL_PARAMETERS angstrom
-1.686 -3.301 1.387
7.104 -2.551 2.565
-2.202 6.053 6.084
ATOMIC_POSITIONS crystal
S 0.330 0.905 0.660
S 0.670 0.095 0.340
S 0.329 0.424 0.659
S 0.995 0.743 0.990
S 0.671 0.576 0.341
S 0.005 0.257 0.010
Er 0.834 0.669 0.669
Er 0.166 0.331 0.331
Th 0.500 0.000 0.000
Sm 0.162 0.834 0.325
Sm 0.500 0.500 0.000
Sm 0.838 0.166 0.675
! Crystal system: monoclinic
! Space group: C2/m
! ΔE_f (raw), meV/atom: -1961.8



Entry 4:
! Pr3Sm4 | Alexandria | GGA-PBE | optimized geometry; values from VASP
&SYSTEM
  ibrav = 0, nat = 7, ntyp = 2
/
ATOMIC_SPECIES
Pr 140.91 Pr.upf
Sm 150.36 Sm.upf
CELL_PARAMETERS angstrom
3.547 0.000 0.000
0.000 8.975 -0.593
-1.773 -4.642 8.002
ATOMIC_POSITIONS crystal
Pr 0.777 0.704 0.554
Pr 0.000 0.000 0.000
Pr 0.223 0.296 0.446
Sm 0.637 0.863 0.273
Sm 0.363 0.137 0.727
Sm 0.076 0.453 0.153
Sm 0.924 0.547 0.847
! Formation enthalpy at 0 K, eV per formula unit: 0.78
! Crystal system: monoclinic
! Space group: C2/m
! Energy relative to the lowest polymorph listed for this composition, eV/atom: 0.0971



Entry 5:
! ErGa2Ge2 | Alexandria | GGA-PBE | optimized geometry; values from VASP
&SYSTEM
  ibrav = 0, nat = 10, ntyp = 3
/
ATOMIC_SPECIES
Ge 72.64 Ge.upf
Ga 69.72 Ga.upf
Er 167.26 Er.upf
CELL_PARAMETERS angstrom
4.000 0.000 0.000
0.000 4.045 0.000
-2.000 0.000 12.196
ATOMIC_POSITIONS crystal
Ge 0.136 0.250 0.272
Ge 0.750 0.250 0.500
Ge 0.864 0.750 0.728
Ge 0.250 0.750 0.500
Ga 0.047 0.750 0.094
Ga 0.953 0.250 0.906
Ga 0.450 0.750 0.900
Ga 0.550 0.250 0.100
Er 0.655 0.750 0.309
Er 0.345 0.250 0.691
! Formation enthalpy at 0 K, eV per formula unit: -1.51
! Crystal system: orthorhombic
! Space group: Cmcm



Entry 6:
! AlZnNiIr | Alexandria | GGA-PBE | optimized geometry; values from VASP
&SYSTEM
  ibrav = 0, nat = 4, ntyp = 4
/
ATOMIC_SPECIES
Zn 65.41 Zn.upf
Ir 192.22 Ir.upf
Ni 58.69 Ni.upf
Al 26.98 Al.upf
CELL_PARAMETERS angstrom
3.992 0.000 0.000
0.000 3.992 0.000
-1.996 -1.996 3.304
ATOMIC_POSITIONS crystal
Zn 0.000 0.000 0.000
Ir 0.250 0.750 0.500
Ni 0.750 0.250 0.500
Al 0.500 0.500 0.000
! Formation enthalpy at 0 K, eV per formula unit: -2.07
! Crystal system: tetragonal
! Space group: I-4m2
! Energy relative to the lowest polymorph listed for this composition, eV/atom: 0.0000



Entry 7:
! KNiI2N | Alexandria | GGA-PBE | optimized geometry; values from VASP
&SYSTEM
  ibrav = 0, nat = 5, ntyp = 4
/
ATOMIC_SPECIES
Ni 58.69 Ni.upf
K 39.10 K.upf
I 126.90 I.upf
N 14.01 N.upf
CELL_PARAMETERS angstrom
-2.973 -5.268 -1.032
1.255 0.465 -5.988
2.962 -1.767 0.484
ATOMIC_POSITIONS crystal
Ni 0.000 0.000 0.000
K 0.500 0.500 0.500
I 0.500 0.000 0.000
I 0.000 0.500 0.000
N 0.000 0.000 0.500
! Crystal system: tetragonal
! Space group: P4/mmm
! ΔE_f (raw), meV/atom: -11.1
! Energy relative to the lowest polymorph listed for this composition, eV/atom: 0.0000



Entry 8:
! FeAsH3 | Alexandria | GGA-PBE | optimized geometry; values from VASP
&SYSTEM
  ibrav = 0, nat = 5, ntyp = 3
/
ATOMIC_SPECIES
H 1.01 H.upf
As 74.92 As.upf
Fe 55.84 Fe.upf
CELL_PARAMETERS angstrom
3.350 0.000 0.000
0.000 3.350 0.000
0.000 0.000 3.350
ATOMIC_POSITIONS crystal
H 0.000 0.000 0.500
H 0.500 0.000 0.000
H 0.000 0.500 0.000
As 0.500 0.500 0.500
Fe 0.000 0.000 0.000
! Crystal system: cubic
! Space group: Pm-3m
! Energy relative to the lowest polymorph listed for this composition, eV/atom: 0.0000



Entry 9:
! InSnTe2 | Alexandria | GGA-PBE | optimized geometry; values from VASP
&SYSTEM
  ibrav = 0, nat = 4, ntyp = 3
/
ATOMIC_SPECIES
Sn 118.71 Sn.upf
In 114.82 In.upf
Te 127.60 Te.upf
CELL_PARAMETERS angstrom
-5.131 5.265 -2.140
-6.807 3.169 1.498
-3.691 6.406 1.990
ATOMIC_POSITIONS crystal
Sn 0.500 0.500 0.500
In 0.000 0.000 0.000
Te 0.250 0.250 0.250
Te 0.750 0.750 0.750
! Crystal system: trigonal
! Space group: R-3m
! ΔE_f (raw), meV/atom: -280.9



Entry 10:
! CaHgPd4 | Alexandria | GGA-PBE | optimized geometry; values from VASP
&SYSTEM
  ibrav = 0, nat = 12, ntyp = 3
/
ATOMIC_SPECIES
Pd 106.42 Pd.upf
Ca 40.08 Ca.upf
Hg 200.59 Hg.upf
CELL_PARAMETERS angstrom
4.201 0.000 0.000
0.000 6.994 0.000
0.000 0.000 7.868
ATOMIC_POSITIONS crystal
Pd 0.500 0.296 0.975
Pd 0.000 0.000 0.500
Pd 0.500 0.027 0.250
Pd 0.500 0.296 0.525
Pd 0.500 0.704 0.025
Pd 0.000 0.000 0.000
Pd 0.500 0.704 0.475
Pd 0.500 0.973 0.750
Ca 0.000 0.317 0.250
Ca 0.000 0.683 0.750
Hg 0.000 0.733 0.250
Hg 0.000 0.267 0.750
! Formation enthalpy at 0 K, eV per formula unit: -1.68
! Crystal system: orthorhombic
! Space group: Pmma



Entry 11:
! Mn2CuHg | Alexandria | GGA-PBE | optimized geometry; values from VASP
&SYSTEM
  ibrav = 0, nat = 4, ntyp = 3
/
ATOMIC_SPECIES
Mn 54.94 Mn.upf
Cu 63.55 Cu.upf
Hg 200.59 Hg.upf
CELL_PARAMETERS angstrom
-0.965 2.346 -1.850
-2.985 -0.836 0.497
-0.239 3.771 4.908
ATOMIC_POSITIONS crystal
Mn 0.000 0.000 0.022
Mn 0.500 0.500 0.262
Cu 0.000 0.000 0.471
Hg 0.500 0.500 0.745
! Formation enthalpy at 0 K, eV per formula unit: 1.17
! Crystal system: tetragonal
! Space group: P4mm



Entry 12:
! Rb2BaNaH | Alexandria | GGA-PBE | optimized geometry; values from VASP
&SYSTEM
  ibrav = 0, nat = 5, ntyp = 4
/
ATOMIC_SPECIES
Na 22.99 Na.upf
Rb 85.47 Rb.upf
Ba 137.33 Ba.upf
H 1.01 H.upf
CELL_PARAMETERS angstrom
-5.093 -4.190 0.458
1.940 -1.693 6.089
-3.129 4.035 2.118
ATOMIC_POSITIONS crystal
Na 0.500 0.500 0.500
Rb 0.000 0.500 0.000
Rb 0.500 0.000 0.000
Ba 0.000 0.000 0.500
H 0.000 0.000 0.000
! Total DFT energy (no corrections), eV/atom: -1.71
! Crystal system: tetragonal
! Space group: P4/mmm



no.,mass density (Mg/m³)
1,9.9
2,5.3
3,7.6
4,6.9
5,7.6
6,10.8
7,4.6
8,5.9
9,6.4
10,9.6
11,10.2
12,2.3